1.
An optimized crystal structure of Np3Br2O10, computed with PBE-GGA.

Lattice parameters (Å, degrees): 6.941 10.007 10.130 78.17 71.01 86.37
Space group P-1 (No. 2)
Asymmetric unit:
Np  0.061  0.169  0.421 x2
Np  0.190  0.512  0.123 x2
Np  0.251  0.519  0.502 x2
Br  0.279  0.948  0.903 x2
Br  0.361  0.151  0.739 x2
O  0.000  0.500  0.000 x1
O  0.031  0.363  0.504 x2
O  0.044  0.981  0.380 x2
O  0.135  0.486  0.703 x2
O  0.178  0.325  0.193 x2
O  0.193  0.695  0.071 x2
O  0.196  0.784  0.575 x2
O  0.323  0.152  0.408 x2
O  0.326  0.545  0.301 x2
O  0.464  0.378  0.518 x2
O  0.500  0.500  0.000 x1

Calculated values
DOS(E_F), states/eV/cell: 25.33
E, eV/atom: -8.228

---

2.
An optimized crystal structure of Li2BrCl, computed with PBE-GGA.

Lattice parameters (Å, degrees): 3.7758 3.7758 18.4795 90.00 90.00 120.00
Space group R-3m (No. 166, hexagonal axes)
Asymmetric unit:
Li  0.0000  0.0000  0.2456 x6
Br  0.0000  0.0000  0.0000 x3
Cl  0.0000  0.0000  0.5000 x3

Calculated values
Energy above the most stable polymorph in this dataset, eV/atom: 0.026
DOS(E_F), states/eV/cell: 0.00
E, eV/atom: -3.492

---

3.
An optimized crystal structure of HgRhS2N, computed with PBE-GGA.

Lattice parameters (Å, degrees): 4.965 4.965 3.649 90.00 90.00 90.00
Space group P4/mmm (No. 123)
Asymmetric unit:
Hg  0.000  0.000  0.000 x1
Rh  0.500  0.500  0.500 x1
S  0.000  0.500  0.500 x2
N  0.500  0.500  0.000 x1

Calculated values
Energy above the most stable polymorph in this dataset, eV/atom: 0.000
DOS(E_F), states/eV/cell: 2.74
E, eV/atom: -4.308

---

4.
An optimized crystal structure of CsSnF3, computed with PBE-GGA.

Lattice parameters (Å, degrees): 4.669 6.941 8.084 99.45 102.86 92.76
Space group P-1 (No. 2)
Asymmetric unit:
Cs  0.141  0.227  0.374 x2
Sn  0.296  0.687  0.135 x2
F  0.254  0.673  0.387 x2
F  0.341  0.113  0.752 x2
F  0.468  0.560  0.837 x2

Calculated values
DOS(E_F), states/eV/cell: 0.00
E, eV/atom: -4.607